Compound: MnZnN2F
Source: Alexandria via LeMat-Bulk
Functional: PBE with a Hubbard U
Structure: relaxed

Cell lengths 3.8548, 3.8548, 4.0931 Å; angles 90.00, 90.00, 90.00 degrees
Positions (direct):
F 0.0000 0.0000 0.5000
N 0.0000 0.5000 0.0000
N 0.5000 0.0000 0.0000
Zn 0.0000 0.0000 0.0000
Mn 0.5000 0.5000 0.5000

## Properties
- VASP energy (eV/f.u.) = -24.71
- theoretical density (g/cm3) = 4.6